(1)
# Li2Co4OF8

A geometry-optimized Li2Co4OF8 structure (PBEsol, Alexandria via LeMat-Bulk).

```
30
Lattice="6.798 0.456 -0.355 1.880 6.918 -0.369 3.064 2.099 6.657" Properties=species:S:1:pos:R:3 pbc="T T T"
Li 4.591 2.390 4.009
Li 4.076 5.242 -0.299
Li 7.665 4.232 6.232
Li 7.150 7.083 1.924
Co 6.369 4.297 1.449
Co 4.164 7.219 2.803
Co 10.888 8.249 5.542
Co 9.030 5.978 4.057
Co 2.711 3.495 1.875
Co 0.853 1.224 0.390
Co 7.577 2.254 3.130
Co 5.372 5.176 4.483
O 3.944 6.465 4.486
O 7.797 3.008 1.446
F 5.902 0.769 0.663
F 5.789 5.894 2.527
F 9.429 4.931 5.708
F 4.546 3.621 0.993
F 3.496 4.016 3.657
F 3.795 6.751 0.978
F 3.635 1.619 2.563
F 5.570 4.033 6.102
F 6.171 5.440 -0.169
F 8.106 7.855 3.369
F 7.946 2.723 4.954
F 8.246 5.457 2.276
F 7.195 5.852 4.940
F 2.312 4.543 0.224
F 5.952 3.580 3.406
F 5.839 8.704 5.270
```

Summary:
- ΔE_f (raw): -172.6 kJ per mole of atoms
- SG: P-1



(2)
# AlMoAu2

A geometry-optimized AlMoAu2 structure (PBEsol, Alexandria via LeMat-Bulk).

```
4
Lattice="2.767 0.000 0.000 0.000 5.002 0.028 0.000 -1.989 4.590" Properties=species:S:1:pos:R:3 pbc="T T T"
Mo 1.384 0.000 0.000
Au 0.000 2.501 0.014
Au 0.000 -0.995 2.295
Al 1.384 1.507 2.309
```

Summary:
- SG: Cmmm
- Formation energy from the elements: 0.02 eV/atom



(3)
# BaMgV2CuO8

A geometry-optimized BaMgV2CuO8 structure (PBEsol, Alexandria via LeMat-Bulk).

```
52
Lattice="8.277 0.000 0.000 4.139 8.801 0.056 4.139 0.159 8.800" Properties=species:S:1:pos:R:3 pbc="T T T"
Ba 13.388 7.789 5.563
Ba 9.250 7.787 5.561
Ba 7.304 3.309 1.135
Ba 3.166 3.307 1.133
Mg 7.222 7.760 2.577
Mg 7.222 1.971 5.499
Mg 9.332 3.439 6.949
Mg 9.332 6.293 1.127
V 8.277 4.859 4.045
V 8.277 0.537 8.417
V 4.139 1.926 7.013
V 4.139 6.247 2.641
V 10.326 6.350 8.453
V 10.367 1.869 4.025
V 6.228 0.434 2.606
V 6.187 4.914 7.034
Cu 15.531 7.850 8.487
Cu 11.392 4.862 5.534
Cu 5.162 3.370 4.059
Cu 1.023 0.382 1.106
O 9.432 4.843 5.368
O 13.570 8.017 8.505
O 2.984 0.363 0.940
O 7.122 3.536 4.077
O 5.208 1.953 5.644
O 5.208 7.615 2.598
O 11.346 6.274 1.272
O 11.346 3.294 6.970
O 9.180 7.669 8.456
O 9.260 1.971 5.362
O 11.512 3.189 4.027
O 7.294 6.292 0.990
O 9.260 7.897 2.577
O 5.042 4.896 5.715
O 7.294 3.576 6.948
O 7.374 0.416 1.287
O 7.464 6.341 4.084
O 7.464 0.481 6.935
O 9.090 2.020 8.456
O 9.090 4.802 2.564
O 11.563 0.444 6.971
O 11.563 6.306 4.122
O 4.991 4.765 2.599
O 4.991 1.985 8.494
O 11.158 6.424 6.974
O 2.870 0.353 4.062
O 9.535 1.944 2.546
O 9.545 4.833 8.491
O 7.009 0.414 4.123
O 7.019 6.392 6.943
O 13.684 4.894 8.551
O 5.396 1.912 2.515
```

Summary:
- ΔE_f (raw): -224.9 kJ per mole of atoms
- SG: Iba2



(4)
# ScFeBr2

A geometry-optimized ScFeBr2 structure (PBEsol, Alexandria via LeMat-Bulk).

```
4
Lattice="-1.836 -1.958 2.110 3.117 0.544 3.217 -2.181 3.656 1.495" Properties=species:S:1:pos:R:3 pbc="T T T"
Br -1.091 1.828 0.747
Br 1.558 0.272 1.609
Fe -0.450 1.121 3.411
Sc -0.918 -0.979 1.055
```

Summary:
- ΔE_f (raw): -16.2 kJ per mole of atoms
- Relative energy among the computed polymorphs: 325 meV/atom
- SG: P4/mmm



(5)
# Mn3SnP4O16

A geometry-optimized Mn3SnP4O16 structure (PBEsol, Alexandria via LeMat-Bulk).

```
24
Lattice="-4.258 -2.165 0.998 -0.881 -0.948 -5.817 4.692 -8.616 0.693" Properties=species:S:1:pos:R:3 pbc="T T T"
Mn 0.560 -3.064 -2.638
Mn 1.404 -8.162 -1.935
Mn -1.440 -3.157 0.733
Sn -0.657 -8.227 1.441
P 1.405 -3.667 0.385
P 2.607 -8.679 1.020
P -2.508 -2.643 -2.242
P -1.521 -7.503 -1.599
O 1.823 -5.160 0.565
O -0.213 -4.135 -4.154
O 0.309 -3.573 -0.709
O 1.583 -6.263 -2.272
O -1.075 -2.160 -2.538
O 2.205 -8.458 -3.846
O 2.736 -7.887 -0.343
O -1.195 -1.282 0.390
O 1.252 -10.044 -1.605
O -2.620 -3.373 -0.864
O -2.978 -3.758 -3.230
O 1.157 -9.086 1.306
O -1.594 -5.021 1.060
O -0.365 -7.603 -0.516
O -0.723 -7.989 -2.882
O -1.988 -6.065 -1.763
```

Summary:
- ΔE_f (raw): -187.9 kJ per mole of atoms
- SG: Pm



(6)
# Li3CaBi

A geometry-optimized Li3CaBi structure (PBEsol, Alexandria via LeMat-Bulk).

```
5
Lattice="5.233 0.000 0.000 0.000 5.233 0.000 0.000 0.000 5.233" Properties=species:S:1:pos:R:3 pbc="T T T"
Ca 2.616 2.616 2.616
Bi 0.000 0.000 0.000
Li 0.000 2.616 0.000
Li 0.000 0.000 2.616
Li 2.616 0.000 0.000
```

Summary:
- SG: Pm-3m
- Formation energy from the elements: -0.15 eV/atom



(7)
# InHg5

A geometry-optimized InHg5 structure (PBEsol, Alexandria via LeMat-Bulk).

```
6
Lattice="3.390 0.000 0.000 -1.695 5.789 -0.042 0.000 -2.127 7.285" Properties=species:S:1:pos:R:3 pbc="T T T"
Hg 1.695 3.614 7.147
Hg 0.000 2.413 4.731
Hg 1.695 1.172 2.355
Hg 1.695 -0.211 5.316
Hg 1.695 4.382 2.904
In 0.000 3.121 0.462
```

Summary:
- Relative energy among the computed polymorphs: 3 meV/atom
- SG: Cm
- Formation energy from the elements: -0.01 eV/atom



(8)
# SrHgAs2Br

A geometry-optimized SrHgAs2Br structure (PBEsol, Alexandria via LeMat-Bulk).

```
5
Lattice="-2.849 -1.369 4.798 -4.300 -2.911 -3.384 3.237 -5.269 0.419" Properties=species:S:1:pos:R:3 pbc="T T T"
Sr 0.000 0.000 0.000
As 1.619 -2.634 0.209
As -2.150 -1.455 -1.692
Hg -1.956 -4.774 0.916
Br -1.424 -0.685 2.399
```

Summary:
- ΔE_f (raw): 41.5 kJ per mole of atoms
- SG: P4/mmm



(9)
# Ba2TcW

A geometry-optimized Ba2TcW structure (PBEsol, Alexandria via LeMat-Bulk).

```
4
Lattice="-0.906 -2.796 -0.290 4.840 -1.783 2.055 -2.246 0.165 5.432" Properties=species:S:1:pos:R:3 pbc="T T T"
Ba -1.686 0.124 4.079
Ba -0.560 0.041 1.353
Tc 1.967 -2.289 0.883
W 0.844 -2.207 3.599
```

Summary:
- Relative energy among the computed polymorphs: 25 meV/atom
- SG: Pmmm
- Formation energy from the elements: 1.59 eV/atom



(10)
# AlTe3H

A geometry-optimized AlTe3H structure (PBEsol, Alexandria via LeMat-Bulk).

```
5
Lattice="5.301 0.000 0.000 0.000 5.301 0.000 0.000 0.000 5.301" Properties=species:S:1:pos:R:3 pbc="T T T"
H 2.651 2.651 2.651
Te 0.000 2.651 0.000
Te 0.000 0.000 2.651
Te 2.651 0.000 0.000
Al 0.000 0.000 0.000
```

Summary:
- SG: Pm-3m
- Uncorrected energy: -14.3 eV per cell



(11)
# Cd3Hg2

A geometry-optimized Cd3Hg2 structure (PBEsol, Alexandria via LeMat-Bulk).

```
10
Lattice="-0.242 5.747 0.245 -4.320 -2.760 2.621 6.130 -1.597 4.802" Properties=species:S:1:pos:R:3 pbc="T T T"
Cd 2.414 -0.268 5.347
Cd -1.691 2.211 2.851
Cd 1.951 2.615 4.916
Cd 0.811 3.582 2.094
Cd -0.179 0.117 0.112
Cd -0.414 -1.314 4.540
Hg 4.825 1.370 4.767
Hg -2.234 -0.650 2.258
Hg -0.746 1.515 5.681
Hg 1.056 0.700 2.776
```

Summary:
- Relative energy among the computed polymorphs: 17 meV/atom
- SG: Fdd2
- Formation energy from the elements: 0.01 eV/atom



(12)
# YCrFe

A geometry-optimized YCrFe structure (PBEsol, Alexandria via LeMat-Bulk).

```
3
Lattice="-3.147 0.445 2.849 -3.388 -2.592 -0.140 -0.560 -2.945 3.038" Properties=species:S:1:pos:R:3 pbc="T T T"
Cr -3.547 -2.546 2.873
Fe -5.321 -3.819 4.310
Y 0.000 0.000 0.000
```

Summary:
- SG: F-43m
- Formation energy from the elements: 0.71 eV/atom



| no. | density of states at the Fermi level (states/eV/cell) |
| --- | --- |
| 1 | 16.97 |
| 2 | 2.44 |
| 3 | 11.62 |
| 4 | 5.16 |
| 5 | 3.24 |
| 6 | 2.41 |
| 7 | 1.43 |
| 8 | 3.01 |
| 9 | 3.78 |
| 10 | 5.23 |
| 11 | 3.21 |
| 12 | 4.86 |